Compound: GeBiMoO6
Source: the Alexandria database
Functional: PBE with a Hubbard U
Structure: optimized geometry

## Properties
The total energy comes out at -6.46 eV/atom. The calculation puts the calculated density at 6.9 g/cm3. Its volume is 227 Å³/cell. The symmetry is P4_2nm (102).

abc: 4.841 4.841 9.676
angles: 90.00 90.00 90.00
Site moments in Bohr magnetons follow the coordinates.
Atoms (fractional coordinates):
Ge 0.500 0.500 0.832  0.02
Ge 0.000 0.000 0.332  0.02
Bi 0.500 0.500 0.171  0.01
Bi 0.000 0.000 0.671  0.01
Mo 0.500 0.500 0.503  0.99
Mo 0.000 0.000 0.003  0.99
O 0.218 0.782 0.475  -0.04
O 0.782 0.218 0.475  -0.04
O 0.282 0.282 0.975  -0.04
O 0.718 0.718 0.975  -0.04
O 0.171 0.829 0.172  -0.01
O 0.829 0.171 0.172  -0.01
O 0.329 0.329 0.672  -0.01
O 0.671 0.671 0.672  -0.01
O 0.778 0.222 0.850  0.03
O 0.222 0.778 0.850  0.03
O 0.722 0.722 0.350  0.03
O 0.278 0.278 0.350  0.03